VASP calculation (PBE) on Ag2Ge2Pb after structural relaxation.

```
Ag2Ge2Pb
1.0
8.343 0.000 0.000
0.000 8.343 0.000
0.000 0.000 3.060
Ag Ge Pb
4 4 2
direct
0.133 0.367 0.000
0.367 0.867 0.000
0.633 0.133 0.000
0.867 0.633 0.000
0.161 0.661 0.500
0.339 0.161 0.500
0.661 0.839 0.500
0.839 0.339 0.500
0.000 0.000 0.000
0.500 0.500 0.000
```

E_form   0.20 eV/atom
Space-group type   P4/mbm
Relative energy among the computed polymorphs   60 meV/atom
Magnetic moment   0.000 μB/cell
Calculated total energy   -3.526 eV/atom
Density   8.9 g cm⁻³